The following is a DFT calculation (PBE) of RbCoTe after structural relaxation.

Cell: 7.7660 7.7660 7.7660 Å, 90.00 90.00 90.00°
Last column: nearest neighbours and their distance in Å.
Space group F-43m (No. 216)
One atom of each set of equivalent atoms:
Rb: 0.0000 0.0000 0.0000 x4  4 Co 3.36, 4 Te 3.36
Co: 0.2500 0.2500 0.7500 x4  4 Rb 3.36
Te: 0.2500 0.2500 0.2500 x4  4 Rb 3.36

Total energy = -2.711 eV per atom
Energy above the lowest structure with this stoichiometry = 520 meV/atom